DFT (PBE) results for a relaxed structure of SbPdCl3.

a b c (Å): 4.8854 4.8854 4.8854
angles (deg): 90.00 90.00 90.00
Space group Pm-3m (No. 221)
Unique sites:
Sb 0.0000 0.0000 0.0000 x1
Pd 0.5000 0.5000 0.5000 x1
Cl 0.0000 0.5000 0.5000 x3

Output
As for the density: 4.76 Mg/m³. The calculated volume is 23.320 A^3/atom. The energy above the most stable polymorph in this dataset comes out at 0 meV per atom.


DFT (PBE) results for a relaxed structure of CeCuBiAu.

a b c (Å): 7.1425 7.1425 7.1425
angles (deg): 90.00 90.00 90.00
Space group F-43m (No. 216)
Unique sites:
Ce 0.0000 0.0000 0.0000 x4
Cu 0.2500 0.2500 0.2500 x4
Bi 0.0000 0.0000 0.5000 x4
Au 0.2500 0.2500 0.7500 x4

Output
The calculation puts the formation energy from the elements at -351 meV per atom. As for the density: 11.11 Mg/m³. The calculated volume is 22.774 A^3/atom.


DFT (PBE) results for a relaxed structure of NaSnTe3.

a b c (Å): 5.5160 5.5160 5.5160
angles (deg): 90.00 90.00 90.00
Space group Pm-3m (No. 221)
Unique sites:
Na 0.0000 0.0000 0.0000 x1
Sn 0.5000 0.5000 0.5000 x1
Te 0.0000 0.0000 0.5000 x3

Output
As for the density: 5.19 Mg/m³. The calculated volume is 33.566 A^3/atom. The energy above the most stable polymorph in this dataset comes out at 691 meV per atom.


DFT (PBE) results for a relaxed structure of La5Sm3Tm3.

a b c (Å): 11.4359 11.4359 3.4820
angles (deg): 90.00 90.00 120.00
Space group P-62m (No. 189)
Unique sites:
La 0.0000 0.6636 0.0000 x3
La 0.3333 0.6667 0.0000 x2
Sm 0.0000 0.4012 0.5000 x3
Tm 0.0000 0.1588 0.0000 x3

Output
The calculation puts the formation energy from the elements at 291 meV per atom. As for the density: 6.96 Mg/m³. The calculated volume is 35.851 A^3/atom.


DFT (PBE) results for a relaxed structure of ZrAsP.

a b c (Å): 6.2246 6.2246 6.2246
angles (deg): 90.00 90.00 90.00
Space group F-43m (No. 216)
Unique sites:
Zr 0.0000 0.0000 0.0000 x4
As 0.0000 0.0000 0.5000 x4
P 0.2500 0.2500 0.7500 x4

Output
The calculation puts the formation energy from the elements at -263 meV per atom. As for the density: 5.43 Mg/m³. The calculated volume is 20.098 A^3/atom. The energy above the most stable polymorph in this dataset comes out at 623 meV per atom.


DFT (PBE) results for a relaxed structure of YTmTh2.

a b c (Å): 7.9809 7.9809 7.9809
angles (deg): 90.00 90.00 90.00
Space group Fm-3m (No. 225)
Unique sites:
Y 0.0000 0.0000 0.0000 x4
Tm 0.0000 0.0000 0.5000 x4
Th 0.2500 0.2500 0.2500 x8

Output
The calculation puts the formation energy from the elements at 132 meV per atom. As for the density: 9.43 Mg/m³. The calculated volume is 31.771 A^3/atom. The energy above the most stable polymorph in this dataset comes out at 100 meV per atom.


DFT (PBE) results for a relaxed structure of NaSm5Tl8.

a b c (Å): 9.4469 9.4469 9.2893
angles (deg): 90.00 90.00 90.00
Space group I-4 (No. 82)
Unique sites:
Na 0.0000 0.0000 0.0000 x2
Sm 0.0000 0.5000 0.7500 x2
Sm 0.1197 0.2323 0.3868 x8
Tl 0.0711 0.3306 0.0514 x8
Tl 0.0919 0.1726 0.7269 x8

Output
The calculation puts the formation energy from the elements at -239 meV per atom. As for the density: 9.65 Mg/m³. The calculated volume is 29.608 A^3/atom.


DFT (PBE) results for a relaxed structure of Sc2TlTe4.

a b c (Å): 4.1546 4.1546 44.4272
angles (deg): 90.00 90.00 120.00
Space group R-3m (No. 166, hexagonal axes)
Unique sites:
Sc 0.0000 0.0000 0.0735 x6
Tl 0.0000 0.0000 0.5000 x3
Te 0.0000 0.0000 0.2207 x6
Te 0.0000 0.0000 0.3703 x6

Output
As for the density: 6.04 Mg/m³. The calculated volume is 31.624 A^3/atom. The energy above the most stable polymorph in this dataset comes out at 0 meV per atom.


DFT (PBE) results for a relaxed structure of MnRe2Ru.

a b c (Å): 6.1271 6.1271 6.1271
angles (deg): 90.00 90.00 90.00
Space group F-43m (No. 216)
Unique sites:
Mn 0.0000 0.0000 0.0000 x4
Re 0.0000 0.0000 0.5000 x4
Re 0.2500 0.2500 0.2500 x4
Ru 0.2500 0.2500 0.7500 x4

Output
The calculation puts the formation energy from the elements at 161 meV per atom. As for the density: 15.26 Mg/m³. The calculated volume is 14.376 A^3/atom. The energy above the most stable polymorph in this dataset comes out at 156 meV per atom.


DFT (PBE) results for a relaxed structure of Sc6Tl3Ga.

a b c (Å): 5.6972 8.5282 11.5537
angles (deg): 90.00 119.35 90.00
Space group P2_1/c (No. 14)
Unique sites:
Sc 0.0281 0.1933 0.4365 x4
Sc 0.3358 0.6686 0.4424 x4
Sc 0.3811 0.0905 0.2386 x4
Tl 0.1436 0.0968 0.7451 x4
Tl 0.5000 0.0000 0.5000 x2
Ga 0.0000 0.0000 0.0000 x2

Output
The calculation puts the formation energy from the elements at -167 meV per atom. As for the density: 6.47 Mg/m³. The calculated volume is 24.464 A^3/atom.


DFT (PBE) results for a relaxed structure of DyCdPd14.

a b c (Å): 5.6822 5.6822 8.0089
angles (deg): 90.00 90.00 90.00
Space group P4/mmm (No. 123)
Unique sites:
Dy 0.0000 0.0000 0.0000 x1
Cd 0.5000 0.5000 0.0000 x1
Pd 0.0000 0.0000 0.5000 x1
Pd 0.0000 0.5000 0.0000 x2
Pd 0.0000 0.5000 0.5000 x2
Pd 0.2507 0.2507 0.2563 x8
Pd 0.5000 0.5000 0.5000 x1

Output
The calculation puts the formation energy from the elements at -264 meV per atom. As for the density: 11.33 Mg/m³. The calculated volume is 16.161 A^3/atom.


DFT (PBE) results for a relaxed structure of Ce2SbSe6.

a b c (Å): 6.8758 7.2394 11.3152
angles (deg): 90.00 118.96 90.00
Space group P2_1/c (No. 14)
Unique sites:
Ce 0.1679 0.1100 0.2230 x4
Sb 0.5000 0.0000 0.0000 x2
Se 0.1178 0.1943 0.9425 x4
Se 0.2391 0.6775 0.9203 x4
Se 0.4282 0.0690 0.7444 x4

Output
As for the density: 5.90 Mg/m³. Its electronic total energy is -5.15 eV per atom. The calculated volume is 27.379 A^3/atom.


DFT (PBE) results for a relaxed structure of YZn2Ru.

a b c (Å): 3.2962 3.9230 5.7983
angles (deg): 90.00 106.42 90.00
Space group Pm (No. 6)
Unique sites:
Y 0.0000 0.0000 0.0000 x1
Zn 0.6361 0.5000 0.2690 x1
Zn 0.7347 0.0000 0.5134 x1
Ru 0.3343 0.5000 0.6947 x1

Output
The calculation puts the formation energy from the elements at -97 meV per atom. As for the density: 7.41 Mg/m³. The calculated volume is 17.980 A^3/atom.


DFT (PBE) results for a relaxed structure of LiIr2Cl8.

a b c (Å): 12.2711 8.9240 6.6188
angles (deg): 90.00 106.88 90.00
Space group C2/m (No. 12)
Unique sites:
Li 0.0000 0.0000 0.0000 x2
Ir 0.1819 0.0000 0.6572 x4
Cl 0.0966 0.1735 0.8079 x8
Cl 0.1285 0.5000 0.2274 x4
Cl 0.1973 0.0000 0.3271 x4

Output
As for the density: 3.23 Mg/m³. Its electronic total energy is -3.47 eV per atom. The calculated volume is 31.526 A^3/atom.


DFT (PBE) results for a relaxed structure of Pr5MoN6.

a b c (Å): 6.1925 10.6733 6.1664
angles (deg): 90.00 109.70 90.00
Space group C2/m (No. 12)
Unique sites:
Pr 0.0000 0.0000 0.0000 x2
Pr 0.0000 0.1667 0.5000 x4
Pr 0.0000 0.3366 0.0000 x4
Mo 0.0000 0.5000 0.5000 x2
N 0.2227 0.3519 0.7221 x8
N 0.2311 0.5000 0.2577 x4

Output
As for the density: 7.66 Mg/m³. Its electronic total energy is -8.08 eV per atom. The calculated volume is 15.988 A^3/atom.


DFT (PBE) results for a relaxed structure of CrAgRu.

a b c (Å): 2.8750 4.4750 13.8391
angles (deg): 90.00 90.00 90.00
Space group Fmm2 (No. 42)
Unique sites:
Cr 0.0000 0.0000 0.0000 x4
Ag 0.0000 0.0000 0.3256 x4
Ru 0.0000 0.0000 0.6415 x4

Output
The calculation puts the formation energy from the elements at 487 meV per atom. As for the density: 9.73 Mg/m³. The calculated volume is 14.837 A^3/atom. The energy above the most stable polymorph in this dataset comes out at 151 meV per atom.


DFT (PBE) results for a relaxed structure of CdFeW.

a b c (Å): 2.8789 2.8789 6.7858
angles (deg): 90.00 90.00 120.00
Space group P3m1 (No. 156)
Unique sites:
Cd 0.0000 0.0000 0.0000 x1
Fe 0.6667 0.3333 0.3444 x1
W 0.3333 0.6667 0.6175 x1

Output
The calculation puts the formation energy from the elements at 469 meV per atom. As for the density: 12.00 Mg/m³. The calculated volume is 16.236 A^3/atom. The energy above the most stable polymorph in this dataset comes out at 81 meV per atom.


DFT (PBE) results for a relaxed structure of InAgHgBr4.

a b c (Å): 14.1975 8.2684 11.2468
angles (deg): 90.00 112.76 90.00
Space group C2/m (No. 12)
Unique sites:
In 0.1999 0.0000 0.3021 x4
Ag 0.1620 0.5000 0.2674 x4
Hg 0.0550 0.5000 0.8755 x4
Br 0.0365 0.0000 0.3345 x4
Br 0.1369 0.5000 0.4904 x4
Br 0.2235 0.2419 0.1703 x8

Output
As for the density: 4.05 Mg/m³. Its electronic total energy is -2.34 eV per atom. The calculated volume is 43.481 A^3/atom.


DFT (PBE) results for a relaxed structure of Pa2TiSe5.

a b c (Å): 5.5972 12.7087 12.8653
angles (deg): 90.00 90.00 90.00
Space group Cmcm (No. 63)
Unique sites:
Pa 0.0000 0.1565 0.0631 x8
Ti 0.0000 0.2138 0.7500 x4
Se 0.0000 0.0516 0.6264 x8
Se 0.0000 0.2773 0.2500 x4
Se 0.0000 0.3391 0.5788 x8

Output
As for the density: 6.57 Mg/m³. Its electronic total energy is -6.72 eV per atom. The calculated volume is 28.598 A^3/atom.


DFT (PBE) results for a relaxed structure of La3Be2GePt9.

a b c (Å): 5.9027 5.9027 9.4193
angles (deg): 90.00 90.00 120.00
Space group P-3m1 (No. 164)
Unique sites:
La 0.0000 0.0000 0.0000 x1
La 0.3333 0.6667 0.6341 x2
Be 0.3333 0.6667 0.1511 x2
Ge 0.0000 0.0000 0.5000 x1
Pt 0.0000 0.5000 0.0000 x3
Pt 0.1649 0.3297 0.3000 x6

Output
The calculation puts the formation energy from the elements at -837 meV per atom. As for the density: 13.22 Mg/m³. The calculated volume is 18.948 A^3/atom.


DFT (PBE) results for a relaxed structure of DyTl2SnTe4.

a b c (Å): 7.9030 4.3973 8.3820
angles (deg): 90.00 107.90 90.00
Space group P2/m (No. 10)
Unique sites:
Dy 0.0000 0.0000 0.0000 x1
Tl 0.0000 0.5000 0.5000 x1
Tl 0.5000 0.0000 0.5000 x1
Sn 0.5000 0.5000 0.0000 x1
Te 0.2363 0.5000 0.2153 x2
Te 0.2553 0.0000 0.7827 x2

Output
As for the density: 7.19 Mg/m³. Its electronic total energy is -3.88 eV per atom. The calculated volume is 34.648 A^3/atom.


DFT (PBE) results for a relaxed structure of NaSr2PrTe4.

a b c (Å): 8.0343 4.6771 8.0764
angles (deg): 90.00 108.87 90.00
Space group P2/m (No. 10)
Unique sites:
Na 0.0000 0.0000 0.0000 x1
Sr 0.5000 0.0000 0.5000 x1
Sr 0.5000 0.5000 0.0000 x1
Pr 0.0000 0.5000 0.5000 x1
Te 0.2377 0.0000 0.7433 x2
Te 0.2421 0.5000 0.2543 x2

Output
As for the density: 4.91 Mg/m³. Its electronic total energy is -4.26 eV per atom. The calculated volume is 35.898 A^3/atom.


DFT (PBE) results for a relaxed structure of BeAgSb.

a b c (Å): 4.1159 4.1159 4.1110
angles (deg): 90.00 90.00 120.00
Space group P3m1 (No. 156)
Unique sites:
Be 0.0000 0.0000 0.0000 x1
Ag 0.3333 0.6667 0.5952 x1
Sb 0.6667 0.3333 0.0873 x1

Output
As for the density: 6.57 Mg/m³. Its electronic total energy is -3.24 eV per atom. The calculated volume is 20.105 A^3/atom.